Record 1
# CaCdSi2

A geometry-optimized CaCdSi2 structure (PBE, Alexandria via LeMat-Bulk).

Lattice parameters (Å, degrees): 4.6594 4.6594 18.0688 90.00 90.00 90.00
With the nearest neighbours (Å) after each atom.
Space group I-42d (No. 122)
Symmetry-distinct sites (fractional):
1 Ca 0.0000 0.0000 0.0000 (multiplicity 4)  4 Si 3.03, 4 Cd 3.29
2 Cd 0.0000 0.0000 0.5000 (multiplicity 4)  4 Si 2.63
3 Si 0.1440 0.2500 0.6250 (multiplicity 8)  2 Cd 2.63, 2 Si 2.69

calculated volume	392.3	Å³ per cell



Record 2
# CaTm2Tl3S6

A geometry-optimized CaTm2Tl3S6 structure (PBE, Alexandria via LeMat-Bulk).

Lattice parameters (Å, degrees): 7.0116 12.1436 7.5943 90.00 107.90 90.00
With the nearest neighbours (Å) after each atom.
Space group C2/m (No. 12)
Symmetry-distinct sites (fractional):
1 Ca 0.0000 0.0000 0.0000 (multiplicity 2)  6 S 2.84-2.85
2 Tm 0.0000 0.3325 0.0000 (multiplicity 4)  6 S 2.72
3 Tl 0.0000 0.1641 0.5000 (multiplicity 4)  6 S 3.11-3.20
4 Tl 0.0000 0.5000 0.5000 (multiplicity 2)  6 S 3.11-3.20
5 S 0.2191 0.5000 0.2007 (multiplicity 4)  2 Tm 2.72, 1 Ca 2.84
6 S 0.2424 0.1740 0.2049 (multiplicity 8)  2 Tm 2.72, 1 Ca 2.85

calculated volume	615.3	Å³ per cell



Record 3
# CsCd2In

A geometry-optimized CsCd2In structure (PBE, Alexandria via LeMat-Bulk).

Lattice parameters (Å, degrees): 6.5135 4.8778 19.8132 90.00 90.00 90.00
With the nearest neighbours (Å) after each atom.
Space group Pnma (No. 62)
Symmetry-distinct sites (fractional):
1 Cs 0.2447 0.2500 0.0848 (multiplicity 4)  7 Cd 4.02-4.40, 5 In 4.04-4.13
2 Cd 0.0068 0.2500 0.7496 (multiplicity 4)  2 In 3.06, 6 Cd 3.07-3.26
3 Cd 0.2435 0.2500 0.2953 (multiplicity 4)  2 In 2.97, 4 Cd 3.07
4 In 0.2444 0.7500 0.3808 (multiplicity 4)  4 Cd 2.97-3.06

calculated volume	629.5	Å³ per cell
energy relative to the elements	-0.0462	eV per atom



Number 1: calculated density 3533 kg/m³, electronic total energy -3.31 eV/atom. Number 2: calculated density 6388 kg/m³, electronic total energy -4.91 eV/atom. Number 3: calculated density 4986 kg/m³, electronic total energy -1.40 eV/atom.